Entry 1:
A geometry-optimized MnIn2W structure, computed with PBE.

Summary:
ΔH_f (0 K) = 0.54 eV per atom
Magnetization = 0.89 μB/atom
Theoretical density = 10.5 Mg/m³
Calculated volume = 74 Å³ per cell

abc: 5.0099 5.0099 5.3211
angles: 100.24 100.24 34.32
Sites, in units of the cell vectors:
Mn 0.0000 0.0000 0.0000
In 0.2516 0.2516 0.7495
In 0.7484 0.7484 0.2505
W 0.5000 0.5000 0.5000

---

Entry 2:
A geometry-optimized Li3PuU2S6 structure, computed with PBE.

Summary:
Magnetization = 0.92 μB/atom
Theoretical density = 6.3 Mg/m³
Calculated volume = 245 Å³ per cell
E_form (uncorrected) = -1671 kJ/mol of formula units

abc: 6.7579 6.7579 6.5982
angles: 99.84 99.84 120.00
Sites, in units of the cell vectors:
Li 0.0000 0.0000 0.0000
Li 0.3334 0.6666 0.0000
Li 0.6666 0.3334 0.0000
Pu 0.5000 0.5000 0.5000
U 0.1664 0.8336 0.5000
U 0.8336 0.1664 0.5000
S 0.0760 0.4154 0.2459
S 0.2464 0.2464 0.7565
S 0.4154 0.0760 0.2459
S 0.5846 0.9240 0.7541
S 0.7536 0.7536 0.2435
S 0.9240 0.5846 0.7541

---

Entry 3:
A geometry-optimized CsLiPuO3 structure, computed with PBE.

Summary:
Magnetization = 0.67 μB/atom
Theoretical density = 6.5 Mg/m³
Calculated volume = 219 Å³ per cell
E_form (uncorrected) = -1365 kJ/mol of formula units

abc: 8.0569 3.5831 8.1331
angles: 90.00 111.13 90.00
Sites, in units of the cell vectors:
Cs 0.2198 0.2500 0.2643
Cs 0.7802 0.7500 0.7357
Li 0.0723 0.2500 0.5959
Li 0.9277 0.7500 0.4041
Pu 0.3209 0.7500 0.8468
Pu 0.6791 0.2500 0.1532
O 0.1564 0.2500 0.8566
O 0.1727 0.7500 0.5702
O 0.4873 0.7500 0.1377
O 0.5127 0.2500 0.8623
O 0.8273 0.2500 0.4298
O 0.8436 0.7500 0.1434

---

Entry 4:
A geometry-optimized Ac4Pt2PbO structure, computed with PBE.

Summary:
Magnetization = 0.00 μB/atom
Theoretical density = 10.0 Mg/m³
Calculated volume = 506 Å³ per cell
E_form (uncorrected) = -1081 kJ/mol of formula units

abc: 7.7897 7.7897 15.3884
angles: 90.00 90.00 147.15
Sites, in units of the cell vectors:
Ac 0.0000 0.0000 0.0000
Ac 0.0000 0.0000 0.5000
Ac 0.2644 0.7356 0.6197
Ac 0.2644 0.7356 0.8803
Ac 0.4162 0.5838 0.2500
Ac 0.5838 0.4162 0.7500
Ac 0.7356 0.2644 0.1197
Ac 0.7356 0.2644 0.3803
Pt 0.3682 0.6318 0.0551
Pt 0.3682 0.6318 0.4449
Pt 0.6318 0.3682 0.5551
Pt 0.6318 0.3682 0.9449
Pb 0.1041 0.8959 0.2500
Pb 0.8959 0.1041 0.7500
O 0.1659 0.8341 0.7500
O 0.8341 0.1659 0.2500

---

Entry 5:
A geometry-optimized Tc2Cl2O7 structure, computed with PBE.

Summary:
Magnetization = 0.18 μB/atom
Theoretical density = 2.5 Mg/m³
Calculated volume = 249 Å³ per cell
E_form (uncorrected) = -844 kJ/mol of formula units

abc: 7.3054 7.3054 4.9960
angles: 104.79 104.79 85.26
Sites, in units of the cell vectors:
Tc 0.1732 0.1732 0.2646
Tc 0.8268 0.8268 0.7354
Cl 0.3053 0.6947 0.5000
Cl 0.6947 0.3053 0.5000
O 0.0000 0.0000 0.0000
O 0.1164 0.3982 0.2207
O 0.1723 0.1723 0.6055
O 0.3982 0.1164 0.2207
O 0.6018 0.8836 0.7793
O 0.8277 0.8277 0.3945
O 0.8836 0.6018 0.7793

---

Entry 6:
A geometry-optimized NaUPb2 structure, computed with PBE.

Summary:
ΔH_f (0 K) = 0.19 eV per atom
Magnetization = 0.63 μB/atom
Theoretical density = 9.9 Mg/m³
Calculated volume = 113 Å³ per cell

abc: 11.9901 11.9901 11.9901
angles: 15.93 15.93 15.93
Sites, in units of the cell vectors:
Na 0.0000 0.0000 0.0000
U 0.5000 0.5000 0.5000
Pb 0.0867 0.0867 0.0867
Pb 0.9133 0.9133 0.9133

---

Entry 7:
A geometry-optimized Cu2ClF structure, computed with PBE.

Summary:
Magnetization = 0.00 μB/atom
Theoretical density = 5.9 Mg/m³
Calculated volume = 51 Å³ per cell
E_form (uncorrected) = -153 kJ/mol of formula units

abc: 4.1718 4.1718 4.1718
angles: 60.00 60.00 60.00
Sites, in units of the cell vectors:
Cu 0.2500 0.2500 0.2500
Cu 0.7500 0.7500 0.7500
Cl 0.0000 0.0000 0.0000
F 0.5000 0.5000 0.5000

---

Entry 8:
A geometry-optimized Ba3Cu2Pt4 structure, computed with PBE.

Summary:
ΔH_f (0 K) = -0.53 eV per atom
Magnetization = 0.00 μB/atom
Theoretical density = 9.3 Mg/m³
Calculated volume = 473 Å³ per cell

abc: 4.4399 4.4399 27.6903
angles: 90.00 90.00 120.00
Sites, in units of the cell vectors:
Ba 0.0000 0.0000 0.0832
Ba 0.0000 0.0000 0.2493
Ba 0.0000 0.0000 0.4156
Ba 0.0000 0.0000 0.5844
Ba 0.0000 0.0000 0.7507
Ba 0.0000 0.0000 0.9168
Cu 0.3333 0.6667 0.5000
Cu 0.6667 0.3333 0.1667
Cu 0.6667 0.3333 0.5000
Cu 0.6667 0.3333 0.8333
Pt 0.3333 0.6667 0.0000
Pt 0.3333 0.6667 0.1668
Pt 0.3333 0.6667 0.3341
Pt 0.3333 0.6667 0.6659
Pt 0.3333 0.6667 0.8332
Pt 0.6667 0.3333 0.0000
Pt 0.6667 0.3333 0.3340
Pt 0.6667 0.3333 0.6660

---

Entry 9:
A geometry-optimized TbHo3Se6 structure, computed with PBE.

Summary:
Magnetization = 0.00 μB/atom
Theoretical density = 7.1 Mg/m³
Calculated volume = 527 Å³ per cell
E_form (uncorrected) = -1800 kJ/mol of formula units

abc: 11.5412 4.0893 11.8241
angles: 90.00 109.14 90.00
Sites, in units of the cell vectors:
Tb 0.0440 0.2500 0.1926
Tb 0.9560 0.7500 0.8074
Ho 0.1591 0.2500 0.5834
Ho 0.3173 0.7500 0.9985
Ho 0.4329 0.2500 0.3325
Ho 0.5671 0.7500 0.6675
Ho 0.6827 0.2500 0.0015
Ho 0.8409 0.7500 0.4166
Se 0.0827 0.7500 0.4016
Se 0.1118 0.2500 0.9650
Se 0.1929 0.7500 0.7503
Se 0.2542 0.7500 0.2233
Se 0.3957 0.2500 0.5622
Se 0.4799 0.2500 0.1150
Se 0.5201 0.7500 0.8850
Se 0.6043 0.7500 0.4378
Se 0.7458 0.2500 0.7767
Se 0.8071 0.2500 0.2497
Se 0.8882 0.7500 0.0350
Se 0.9173 0.2500 0.5984

---

Entry 10:
A geometry-optimized BeAg2As structure, computed with PBE.

Summary:
ΔH_f (0 K) = 0.36 eV per atom
Magnetization = 0.00 μB/atom
Theoretical density = 7.2 Mg/m³
Calculated volume = 139 Å³ per cell

abc: 9.2584 9.2584 9.2584
angles: 155.28 155.28 35.24
Sites, in units of the cell vectors:
Be 0.0000 0.0000 0.0000
Be 0.7500 0.2500 0.5000
Ag 0.1150 0.6250 0.9900
Ag 0.3750 0.3650 0.4900
Ag 0.6350 0.1250 0.0100
Ag 0.8750 0.8850 0.5100
As 0.2500 0.7500 0.5000
As 0.5000 0.5000 0.0000

---

Entry 11:
A geometry-optimized Hf2HgP structure, computed with PBE.

Summary:
ΔH_f (0 K) = -0.21 eV per atom
Magnetization = 0.00 μB/atom
Theoretical density = 12.8 Mg/m³
Calculated volume = 76 Å³ per cell

abc: 4.7612 4.7612 4.7612
angles: 60.00 60.00 60.00
Sites, in units of the cell vectors:
Hf 0.2500 0.2500 0.2500
Hf 0.7500 0.7500 0.7500
Hg 0.0000 0.0000 0.0000
P 0.5000 0.5000 0.5000

---

Entry 12:
A geometry-optimized BiPdSe2 structure, computed with PBE.

Summary:
Magnetization = 0.00 μB/atom
Theoretical density = 6.3 Mg/m³
Calculated volume = 125 Å³ per cell
E_form (uncorrected) = 7 kJ/mol of formula units

abc: 8.3860 8.3860 8.3860
angles: 29.30 29.30 29.30
Sites, in units of the cell vectors:
Bi 0.0000 0.0000 0.0000
Pd 0.5000 0.5000 0.5000
Se 0.4008 0.4008 0.4008
Se 0.5992 0.5992 0.5992

---

Entry 13:
A geometry-optimized VRu2Rh6 structure, computed with PBE.

Summary:
ΔH_f (0 K) = 0.03 eV per atom
Magnetization = 0.00 μB/atom
Theoretical density = 11.2 Mg/m³
Calculated volume = 257 Å³ per cell

abc: 6.7039 6.7039 7.0497
angles: 115.27 115.27 85.52
Sites, in units of the cell vectors:
V 0.1642 0.8358 0.7500
V 0.8358 0.1642 0.2500
Ru 0.2074 0.4194 0.5576
Ru 0.4194 0.2074 0.0576
Ru 0.5806 0.7926 0.9424
Ru 0.7926 0.5806 0.4424
Rh 0.0088 0.2015 0.6813
Rh 0.0844 0.3754 0.1374
Rh 0.2015 0.0088 0.1813
Rh 0.3263 0.5876 0.0262
Rh 0.3754 0.0844 0.6374
Rh 0.4124 0.6737 0.4738
Rh 0.5876 0.3263 0.5262
Rh 0.6246 0.9156 0.3626
Rh 0.6737 0.4124 0.9738
Rh 0.7985 0.9912 0.8187
Rh 0.9156 0.6246 0.8626
Rh 0.9912 0.7985 0.3187

---

Entry 14:
A geometry-optimized Ba2FeHg structure, computed with PBE.

Summary:
ΔH_f (0 K) = 0.21 eV per atom
Magnetization = 0.57 μB/atom
Theoretical density = 6.5 Mg/m³
Calculated volume = 137 Å³ per cell

abc: 4.0654 4.0654 8.2630
angles: 90.00 90.00 90.00
Sites, in units of the cell vectors:
Ba 0.0000 0.0000 0.2347
Ba 0.0000 0.0000 0.7653
Fe 0.5000 0.5000 0.0000
Hg 0.5000 0.5000 0.5000

---

Entry 15:
A geometry-optimized Zr2In2P structure, computed with PBE.

Summary:
ΔH_f (0 K) = 0.08 eV per atom
Magnetization = 0.00 μB/atom
Theoretical density = 6.6 Mg/m³
Calculated volume = 223 Å³ per cell

abc: 7.2405 7.2405 4.2530
angles: 90.00 90.00 90.00
Sites, in units of the cell vectors:
Zr 0.1670 0.3330 0.0000
Zr 0.3330 0.8330 0.0000
Zr 0.6670 0.1670 0.0000
Zr 0.8330 0.6670 0.0000
In 0.1383 0.6383 0.5000
In 0.3617 0.1383 0.5000
In 0.6383 0.8617 0.5000
In 0.8617 0.3617 0.5000
P 0.0000 0.0000 0.5000
P 0.5000 0.5000 0.5000

---

Entry 16:
A geometry-optimized AcHoHgRh structure, computed with PBE.

Summary:
ΔH_f (0 K) = -0.47 eV per atom
Magnetization = 0.00 μB/atom
Theoretical density = 11.1 Mg/m³
Calculated volume = 104 Å³ per cell

abc: 5.2795 5.2795 5.2795
angles: 60.00 60.00 60.00
Sites, in units of the cell vectors:
Ac 0.0000 0.0000 0.0000
Ho 0.5000 0.5000 0.5000
Hg 0.2500 0.2500 0.2500
Rh 0.7500 0.7500 0.7500

---

Entry 17:
A geometry-optimized VNiOs3 structure, computed with PBE.

Summary:
ΔH_f (0 K) = 0.01 eV per atom
Magnetization = 0.00 μB/atom
Theoretical density = 16.7 Mg/m³
Calculated volume = 136 Å³ per cell

abc: 7.1127 7.1127 7.1127
angles: 146.76 136.20 56.08
Sites, in units of the cell vectors:
V 0.0000 0.0000 0.0000
V 0.6997 0.1997 0.5000
Ni 0.3030 0.8030 0.5000
Ni 0.8024 0.8024 0.0000
Os 0.1445 0.3936 0.7508
Os 0.2008 0.2008 0.0000
Os 0.3612 0.6113 0.7498
Os 0.4997 0.9997 0.5000
Os 0.6428 0.3936 0.2492
Os 0.8615 0.6113 0.2502

---

Entry 18:
A geometry-optimized LiYC structure, computed with PBE.

Summary:
ΔH_f (0 K) = 0.00 eV per atom
Magnetization = 0.00 μB/atom
Theoretical density = 4.3 Mg/m³
Calculated volume = 168 Å³ per cell

abc: 6.2843 3.6371 7.3420
angles: 90.00 90.00 90.00
Sites, in units of the cell vectors:
Li 0.1347 0.2500 0.0475
Li 0.3653 0.7500 0.5475
Li 0.6347 0.2500 0.4525
Li 0.8653 0.7500 0.9525
Y 0.0392 0.2500 0.6833
Y 0.4608 0.7500 0.1833
Y 0.5392 0.2500 0.8167
Y 0.9608 0.7500 0.3167
C 0.2377 0.2500 0.3873
C 0.2623 0.7500 0.8873
C 0.7377 0.2500 0.1127
C 0.7623 0.7500 0.6127

---

Entry 19:
A geometry-optimized Tb2Sm2HoTm2 structure, computed with PBE.

Summary:
ΔH_f (0 K) = 0.14 eV per atom
Magnetization = 0.00 μB/atom
Theoretical density = 8.3 Mg/m³
Calculated volume = 225 Å³ per cell

abc: 8.7587 8.7587 8.7587
angles: 37.66 37.66 37.66
Sites, in units of the cell vectors:
Tb 0.2155 0.2155 0.2155
Tb 0.7845 0.7845 0.7845
Sm 0.3609 0.3609 0.3609
Sm 0.6391 0.6391 0.6391
Ho 0.5000 0.5000 0.5000
Tm 0.0720 0.0720 0.0720
Tm 0.9280 0.9280 0.9280

---

Entry 20:
A geometry-optimized LaTa2Cu structure, computed with PBE.

Summary:
ΔH_f (0 K) = 0.28 eV per atom
Magnetization = 0.00 μB/atom
Theoretical density = 11.8 Mg/m³
Calculated volume = 79 Å³ per cell

abc: 2.9192 2.9192 9.2915
angles: 90.00 90.00 90.00
Sites, in units of the cell vectors:
La 0.0000 0.0000 0.0000
Ta 0.0000 0.0000 0.5469
Ta 0.5000 0.5000 0.3070
Cu 0.5000 0.5000 0.7412

---

Entry 21:
A geometry-optimized TlTePt3 structure, computed with PBE.

Summary:
Magnetization = 0.00 μB/atom
Theoretical density = 11.9 Mg/m³
Calculated volume = 128 Å³ per cell
E_form (uncorrected) = 246 kJ/mol of formula units

abc: 5.0398 5.0398 5.0398
angles: 90.00 90.00 90.00
Sites, in units of the cell vectors:
Tl 0.0000 0.0000 0.0000
Te 0.5000 0.5000 0.5000
Pt 0.0000 0.5000 0.5000
Pt 0.5000 0.0000 0.5000
Pt 0.5000 0.5000 0.0000

---

Entry 22:
A geometry-optimized ZnCuPd2 structure, computed with PBE.

Summary:
ΔH_f (0 K) = 0.00 eV per atom
Magnetization = 0.00 μB/atom
Theoretical density = 9.1 Mg/m³
Calculated volume = 125 Å³ per cell

abc: 5.5267 5.5267 5.5267
angles: 103.53 103.53 122.14
Sites, in units of the cell vectors:
Zn 0.0000 0.0000 0.0000
Zn 0.7500 0.2500 0.5000
Cu 0.2500 0.7500 0.5000
Cu 0.5000 0.5000 0.0000
Pd 0.1224 0.6250 0.9974
Pd 0.3750 0.3724 0.4974
Pd 0.6276 0.1250 0.0026
Pd 0.8750 0.8776 0.5026

---

Entry 23:
A geometry-optimized CaSi structure, computed with PBE.

Summary:
Magnetization = 0.14 μB/atom
Theoretical density = 1.4 Mg/m³
Calculated volume = 328 Å³ per cell
E_form (uncorrected) = 21 kJ/mol of formula units

abc: 7.5231 7.5231 7.5231
angles: 109.47 109.47 109.47
Sites, in units of the cell vectors:
Ca 0.0000 0.0000 0.4177
Ca 0.0000 0.4177 0.0000
Ca 0.4177 0.0000 0.0000
Ca 0.5823 0.5823 0.5823
Si 0.0000 0.0000 0.8019
Si 0.0000 0.8019 0.0000
Si 0.1981 0.1981 0.1981
Si 0.8019 0.0000 0.0000